Density functional theory data (PBE-GGA) for a relaxed structure of In2CoHgSb.

Results
**Total magnetic moment**: 0.00 μB per atom
**Calculated total energy**: -0.2456 Ry per atom
**Space group**: P4/mmm, No. 123
**Raw formation energy**: 1.4 kcal/mol of atoms
**Fermi-level density of states**: 4.3 states/eV per cell

Cell: 5.0450 5.0450 4.8749 Å, 90.00 90.00 90.00°
Closest atoms and distances in Å follow each position.
Fractional positions:
Hg  0.5000  0.5000  0.5000  8 In 3.51, 4 Sb 3.57
In  0.5000  0.0000  0.0000  2 Co 2.52
Sb  0.0000  0.0000  0.5000  2 Co 2.44
Co  0.0000  0.0000  0.0000  2 Sb 2.44, 4 In 2.52
In  0.0000  0.5000  0.0000  2 Co 2.52